Entry from Alexandria via LeMat-Bulk: a relaxed SrCoAg2 crystal (GGA-PBEsol).

Geometry as POSCAR:
```
SrCoAg2
1.0
-1.8378 -2.0778 -3.1976
-2.5141 -2.0087 2.7502
-0.7145 5.1613 -0.1412
Ag Co Sr
2 1 1
Direct
0.7500 0.2500 0.5000 Ag
0.0000 0.0000 0.0000 Ag
0.5000 0.5000 0.0000 Co
0.2500 0.7500 0.5000 Sr
```

Formation enthalpy at 0 K (meV/atom): 405
VASP energy (Ha/atom): -0.1339
Fermi-level density of states (states/eV per cell): 4.95
ΔE to the lowest computed polymorph (meV/atom): 58.9
Mass density (g cm⁻³): 7.867

***

Entry from Alexandria via LeMat-Bulk: a relaxed Ta2CoAg crystal (GGA-PBEsol).

Geometry as POSCAR:
```
Ta2CoAg
1.0
-0.6605 0.6053 -2.6047
-2.6143 0.4181 0.7601
1.6410 7.7449 1.3838
Co Ta Ag
1 2 1
Direct
0.5000 0.5000 0.5000 Co
0.0000 0.0000 0.2817 Ta
0.0000 0.0000 0.7183 Ta
0.5000 0.5000 0.0000 Ag
```

Formation enthalpy at 0 K (meV/atom): 62
VASP energy (Ha/atom): -0.3299
Fermi-level density of states (states/eV per cell): 4.28
ΔE to the lowest computed polymorph (meV/atom): 0.0
Mass density (g cm⁻³): 14.398

***

Entry from Alexandria via LeMat-Bulk: a relaxed Ta2CoAg crystal (GGA-PBEsol).

Geometry as POSCAR:
```
Ta2CoAg
1.0
-3.6851 0.1272 2.5065
0.2832 -0.5824 4.4112
-0.7067 3.4358 2.7521
Co Ta Ag
1 2 1
Direct
0.5000 0.5000 0.5000 Co
0.2500 0.2500 0.2500 Ta
0.7500 0.7500 0.7500 Ta
0.0000 0.0000 0.0000 Ag
```

Formation enthalpy at 0 K (meV/atom): 350
VASP energy (Ha/atom): -0.3193
Fermi-level density of states (states/eV per cell): 2.95
ΔE to the lowest computed polymorph (meV/atom): 288.5
Mass density (g cm⁻³): 14.009

***

Entry from Alexandria via LeMat-Bulk: a relaxed CoTc2Ag crystal (GGA-PBEsol).

Geometry as POSCAR:
```
CoTc2Ag
1.0
2.6501 0.0000 0.0000
0.0000 3.8572 0.0000
0.0000 0.0000 5.3461
Co Tc Ag
1 2 1
Direct
0.5000 0.5000 0.5000 Co
0.0000 0.0000 0.7158 Tc
0.0000 0.0000 0.2842 Tc
0.5000 0.5000 0.0000 Ag
```

Formation enthalpy at 0 K (meV/atom): 360
VASP energy (Ha/atom): -0.2953
Fermi-level density of states (states/eV per cell): 3.49
ΔE to the lowest computed polymorph (meV/atom): 0.0
Mass density (g cm⁻³): 11.024

***

Entry from Alexandria via LeMat-Bulk: a relaxed Co2TcAg crystal (GGA-PBEsol).

Geometry as POSCAR:
```
Co2TcAg
1.0
-1.1594 -2.3184 0.2057
2.9176 -1.3047 1.7410
-2.1554 1.4980 4.7346
Co Ag Tc
2 1 1
Direct
0.5000 0.5000 0.2516 Co
0.0000 0.0000 0.0270 Co
0.5000 0.5000 0.7642 Ag
0.0000 0.0000 0.4571 Tc
```

Formation enthalpy at 0 K (meV/atom): 380
VASP energy (Ha/atom): -0.2621
Fermi-level density of states (states/eV per cell): 5.61
ΔE to the lowest computed polymorph (meV/atom): 155.3
Mass density (g cm⁻³): 10.493

***

Entry from Alexandria via LeMat-Bulk: a relaxed CoTc2Ag crystal (GGA-PBEsol).

Geometry as POSCAR:
```
CoTc2Ag
1.0
-1.2584 -2.6487 -2.1951
3.4400 -0.9718 -0.7995
-0.0047 -2.5672 3.1003
Tc Ag Co
2 1 1
Direct
0.5000 0.0000 0.0000 Tc
0.0000 0.5000 0.0000 Tc
0.5000 0.5000 0.5000 Ag
0.0000 0.0000 0.5000 Co
```

Formation enthalpy at 0 K (meV/atom): 454
VASP energy (Ha/atom): -0.2919
Fermi-level density of states (states/eV per cell): 3.55
ΔE to the lowest computed polymorph (meV/atom): 93.4
Mass density (g cm⁻³): 11.155

***

Entry from Alexandria via LeMat-Bulk: a relaxed CoTcAg crystal (GGA-PBEsol).

Geometry as POSCAR:
```
CoTcAg
1.0
-3.7823 1.5799 0.0245
-2.4477 -0.5926 3.2342
-0.8981 3.1289 2.4912
Tc Ag Co
1 1 1
Direct
0.2500 0.2500 0.2500 Tc
0.0000 0.0000 0.0000 Ag
0.5000 0.5000 0.5000 Co
```

Formation enthalpy at 0 K (meV/atom): 1241
VASP energy (Ha/atom): -0.2277
Fermi-level density of states (states/eV per cell): 3.97
ΔE to the lowest computed polymorph (meV/atom): 0.0
Mass density (g cm⁻³): 9.029

***

Entry from Alexandria via LeMat-Bulk: a relaxed Co2TcAg crystal (GGA-PBEsol).

Geometry as POSCAR:
```
Co2TcAg
1.0
-1.3812 -2.0249 0.9702
0.6493 -2.4707 -0.6509
5.0150 -1.8793 6.7982
Co Tc Ag
2 1 1
Direct
0.7548 0.7548 0.7355 Co
0.2452 0.2452 0.2645 Co
0.5000 0.5000 0.5000 Tc
0.0000 0.0000 0.0000 Ag
```

Formation enthalpy at 0 K (meV/atom): 281
VASP energy (Ha/atom): -0.2658
Fermi-level density of states (states/eV per cell): 4.51
ΔE to the lowest computed polymorph (meV/atom): 56.3
Mass density (g cm⁻³): 10.485